{"formula": "Rb3Mg", "functional": "GGA-PBE", "state": "optimized geometry", "cell": [[-4.425, -1.586, 5.376], [-2.663, -6.598, 0.604], [2.194, -4.265, 5.291]], "species": ["Mg", "Rb", "Rb", "Rb"], "frac_coords": [[0.750, 0.750, 0.750], [0.000, 0.000, 0.000], [0.500, 0.500, 0.500], [0.250, 0.250, 0.250]], "magmom_total_mub_per_cell": 0.000, "energy_ev_per_atom": -0.952, "volume_a3_per_cell": 257, "space_group": "Fm-3m"}

{"formula": "Rb4Mg", "functional": "GGA-PBE", "state": "optimized geometry", "cell": [[6.159, -4.582, 2.182], [-7.855, -0.826, 1.137], [0.329, -0.972, -7.914]], "species": ["Rb", "Rb", "Rb", "Rb", "Mg"], "frac_coords": [[0.390, 0.213, 0.602], [0.787, 0.390, 0.177], [0.610, 0.787, 0.398], [0.213, 0.610, 0.823], [0.000, 0.000, 0.000]], "magmom_total_mub_per_cell": 0.000, "energy_ev_per_atom": -0.944, "volume_a3_per_cell": 347, "space_group": "I4/m"}

{"formula": "Rb5Mg", "functional": "GGA-PBE", "state": "optimized geometry", "cell": [[0.000, 6.270, 6.270], [6.270, 0.000, 6.270], [6.270, 6.270, 0.000]], "species": ["Rb", "Rb", "Rb", "Rb", "Rb", "Mg"], "frac_coords": [[0.374, 0.374, 0.877], [0.374, 0.877, 0.374], [0.877, 0.374, 0.374], [0.374, 0.374, 0.374], [0.750, 0.750, 0.750], [0.000, 0.000, 0.000]], "magmom_total_mub_per_cell": 0.000, "energy_ev_per_atom": -0.843, "volume_a3_per_cell": 493, "space_group": "F-43m"}

{"formula": "RbMg3", "functional": "GGA-PBE", "state": "optimized geometry", "cell": [[-1.830, 4.937, -3.772], [-4.840, 1.334, 4.093], [3.897, 3.975, 3.312]], "species": ["Rb", "Rb", "Mg", "Mg", "Mg", "Mg", "Mg", "Mg"], "frac_coords": [[0.000, 0.000, 0.000], [0.500, 0.500, 0.500], [0.500, 0.000, 0.750], [0.000, 0.750, 0.500], [0.750, 0.500, 0.000], [0.250, 0.500, 0.000], [0.000, 0.250, 0.500], [0.500, 0.000, 0.250]], "magmom_total_mub_per_cell": 0.000, "energy_ev_per_atom": -1.075, "volume_a3_per_cell": 272, "space_group": "Pm-3n"}